A geometry-optimized Nd4Sm3YSe8 structure. Source: Alexandria via LeMat-Bulk, functional PBE-GGA.

The crystal system is trigonal. The calculation puts the total energy at -6.040 eV/atom. As for the size of the total moment: 0.0000 μB per atom. The formation energy (no corrections) comes out at -1816.7 meV per atom. The calculation puts the density of states at the Fermi level at 10.71 states/eV per cell.

abc: 8.3634 8.4073 8.3637
angles: 119.82 120.00 90.00
With the nearest neighbours (Å) after each atom.
Positions (direct):
Y 0.0000 0.5000 0.0000  6 Se 2.91
Se 0.7548 0.2584 0.0036  1 Y 2.91, 2 Sm 2.94, 3 Nd 2.99-3.02
Se 0.2488 0.2584 0.0036  1 Y 2.91, 2 Sm 2.94, 3 Nd 2.99-3.02
Se 0.7547 0.2582 0.5093  1 Y 2.91, 2 Sm 2.94, 3 Nd 2.99-3.02
Se 0.7482 0.7445 0.4964  3 Sm 2.94, 3 Nd 2.99
Se 0.2518 0.2555 0.5036  3 Sm 2.94, 3 Nd 2.99
Se 0.2452 0.7416 0.9964  1 Y 2.91, 2 Sm 2.94, 3 Nd 2.99-3.02
Se 0.7512 0.7416 0.9964  1 Y 2.91, 2 Sm 2.94, 3 Nd 2.99-3.02
Se 0.2453 0.7418 0.4907  1 Y 2.91, 2 Sm 2.94, 3 Nd 2.99-3.02
Nd 0.0000 0.0000 0.0000  6 Se 2.99
Nd 0.5000 0.0000 0.5000  6 Se 2.99
Nd 0.0000 0.0000 0.5000  6 Se 2.99
Nd 0.5000 0.0000 0.0000  6 Se 3.02
Sm 0.5000 0.5000 0.0000  6 Se 2.94
Sm 0.5000 0.5000 0.5000  6 Se 2.94
Sm 0.0000 0.5000 0.5000  6 Se 2.94